1.
VASP calculation (GGA-PBE) on TbPmI3 after structural relaxation.

Cell: 8.424 3.954 11.419 Å, 90.00 103.84 90.00°
Element x y z (fractional)
Tb: 0.011 0.250 0.138
Tb: 0.989 0.750 0.862
Pm: 0.481 0.750 0.366
Pm: 0.519 0.250 0.634
I: 0.202 0.250 0.411
I: 0.221 0.250 0.771
I: 0.279 0.750 0.091
I: 0.721 0.250 0.909
I: 0.779 0.750 0.229
I: 0.798 0.750 0.589

Output
Raw formation energy (eV per formula unit): -5.1
E (eV/cell): -38.19
Energy above the most stable polymorph in this dataset (eV/atom): 0.092
SG: P2_1/m, No. 11

2.
VASP calculation (GGA-PBE) on In3FePt after structural relaxation.

Cell: 5.168 5.168 5.168 Å, 90.00 90.00 90.00°
Element x y z (fractional)
In: 0.000 0.000 0.500
In: 0.000 0.500 0.000
In: 0.500 0.000 0.000
Fe: 0.500 0.500 0.500
Pt: 0.000 0.000 0.000

Output
E (eV/cell): -20.47
Energy above the most stable polymorph in this dataset (eV/atom): 0.000
SG: Pm-3m, No. 221
Calculated formation energy (kcal/mol of atoms): 10.355

3.
VASP calculation (GGA-PBE) on Ac5Y4Tl4 after structural relaxation.

Cell: 9.889 9.889 9.889 Å, 93.79 93.79 150.19°
Element x y z (fractional)
Ac: 0.000 0.000 0.000
Ac: 0.300 0.375 0.675
Ac: 0.375 0.700 0.075
Ac: 0.625 0.300 0.925
Ac: 0.700 0.625 0.325
Y: 0.098 0.584 0.682
Y: 0.416 0.098 0.514
Y: 0.584 0.902 0.486
Y: 0.902 0.416 0.318
Tl: 0.070 0.250 0.320
Tl: 0.250 0.930 0.180
Tl: 0.750 0.070 0.820
Tl: 0.930 0.750 0.680

Output
E (eV/cell): -58.99
SG: I4/m, No. 87
Calculated formation energy (kcal/mol of atoms): -5.549

4.
VASP calculation (GGA-PBE) on BaLa4S6 after structural relaxation.

Cell: 7.239 7.239 21.237 Å, 90.00 90.00 146.35°
Element x y z (fractional)
Ba: 0.158 0.842 0.750
Ba: 0.842 0.158 0.250
La: 0.096 0.904 0.130
La: 0.096 0.904 0.370
La: 0.363 0.637 0.041
La: 0.363 0.637 0.459
La: 0.637 0.363 0.541
La: 0.637 0.363 0.959
La: 0.904 0.096 0.630
La: 0.904 0.096 0.870
S: 0.000 0.000 0.000
S: 0.000 0.000 0.500
S: 0.178 0.822 0.250
S: 0.270 0.730 0.586
S: 0.270 0.730 0.914
S: 0.460 0.540 0.160
S: 0.460 0.540 0.340
S: 0.540 0.460 0.660
S: 0.540 0.460 0.840
S: 0.730 0.270 0.086
S: 0.730 0.270 0.414
S: 0.822 0.178 0.750

Output
Raw formation energy (eV per formula unit): -23.6
E (eV/cell): -140.04
SG: Cmcm, No. 63

5.
VASP calculation (GGA-PBE) on Pu4As2O after structural relaxation.

Cell: 8.466 8.466 8.466 Å, 148.55 148.55 45.07°
Element x y z (fractional)
Pu: 0.000 0.500 0.500
Pu: 0.176 0.176 0.000
Pu: 0.500 0.000 0.500
Pu: 0.824 0.824 0.000
As: 0.365 0.365 0.000
As: 0.635 0.635 0.000
O: 0.000 0.000 0.000

Output
Raw formation energy (eV per formula unit): -8.3
E (eV/cell): -79.90
SG: I4/mmm, No. 139

6.
VASP calculation (GGA-PBE) on Sm3Y5Tm3 after structural relaxation.

Cell: 9.648 9.648 5.608 Å, 90.00 90.00 120.00°
Element x y z (fractional)
Sm: 0.000 0.462 0.000
Sm: 0.462 0.000 0.000
Sm: 0.538 0.538 0.000
Y: 0.000 0.265 0.500
Y: 0.265 0.000 0.500
Y: 0.333 0.667 0.500
Y: 0.667 0.333 0.500
Y: 0.735 0.735 0.500
Tm: 0.000 0.624 0.500
Tm: 0.376 0.376 0.500
Tm: 0.624 0.000 0.500

Output
E (eV/cell): -51.17
SG: P-62m, No. 189
Calculated formation energy (kcal/mol of atoms): 18.280

7.
VASP calculation (GGA-PBE) on PuTeI after structural relaxation.

Cell: 5.338 5.338 5.338 Å, 60.00 60.00 60.00°
Element x y z (fractional)
Pu: 0.000 0.000 0.000
Te: 0.750 0.750 0.750
I: 0.250 0.250 0.250

Output
Raw formation energy (eV per formula unit): -2.7
E (eV/cell): -21.69
Energy above the most stable polymorph in this dataset (eV/atom): 0.155
SG: F-43m, No. 216

8.
VASP calculation (GGA-PBE) on Pa4Te3 after structural relaxation.

Cell: 7.899 7.899 7.899 Å, 109.47 109.47 109.47°
Element x y z (fractional)
Pa: 0.000 0.343 0.500
Pa: 0.000 0.843 0.500
Pa: 0.157 0.157 0.157
Pa: 0.343 0.500 0.000
Pa: 0.500 0.000 0.343
Pa: 0.500 0.000 0.843
Pa: 0.657 0.657 0.657
Pa: 0.843 0.500 0.000
Te: 0.125 0.750 0.875
Te: 0.250 0.625 0.375
Te: 0.375 0.250 0.625
Te: 0.625 0.375 0.250
Te: 0.750 0.875 0.125
Te: 0.875 0.125 0.750

Output
Raw formation energy (eV per formula unit): -3.2
E (eV/cell): -101.24
SG: I-43d, No. 220